# 1
Density functional theory data (PBE-GGA) for an optimized crystal structure of La3PrDyY.

Lattice parameters (Å, degrees): 8.1527 5.2397 10.4632 90.00 108.75 90.00
Last column: nearest neighbours and their distance in Å.
Element x y z (fractional)
La  0.1682  0.2500  0.0432  3 Y 3.65-3.69, 1 Dy 3.66, 5 La 3.69-3.72, 3 Pr 3.70-3.71
La  0.1702  0.2500  0.5409  3 Dy 3.63-3.65, 1 Y 3.66, 3 Pr 3.69-3.72, 5 La 3.69-3.71
La  0.1703  0.7500  0.7916  1 Dy 3.65, 3 Y 3.66, 6 La 3.69-3.72, 2 Pr 3.71
La  0.8297  0.2500  0.2084  1 Dy 3.65, 3 Y 3.66, 6 La 3.69-3.72, 2 Pr 3.71
La  0.8298  0.7500  0.4591  3 Dy 3.63-3.65, 1 Y 3.66, 3 Pr 3.69-3.72, 5 La 3.69-3.71
La  0.8318  0.7500  0.9568  3 Y 3.65-3.69, 1 Dy 3.66, 5 La 3.69-3.72, 3 Pr 3.70-3.71
Pr  0.1703  0.7500  0.2931  3 Dy 3.63-3.65, 1 Y 3.63, 8 La 3.69-3.72
Pr  0.8297  0.2500  0.7069  3 Dy 3.63-3.65, 1 Y 3.63, 8 La 3.69-3.72
Dy  0.5002  0.2500  0.3766  5 La 3.63-3.66, 3 Pr 3.63-3.65, 2 Dy 3.68, 2 Y 3.70
Dy  0.4998  0.7500  0.6234  5 La 3.63-3.66, 3 Pr 3.63-3.65, 2 Dy 3.68, 2 Y 3.70
Y  0.4983  0.7500  0.1261  1 Pr 3.63, 7 La 3.65-3.69, 2 Dy 3.70, 2 Y 3.72
Y  0.5017  0.2500  0.8739  1 Pr 3.63, 7 La 3.65-3.69, 2 Dy 3.70, 2 Y 3.72

total magnetization	0.0001	μB per atom
energy relative to the elements	0.027	eV per atom
total energy	-5.0775	eV/atom


# 2
Density functional theory data (PBE-GGA) for an optimized crystal structure of LaPr2Dy3Y6.

Lattice parameters (Å, degrees): 6.2502 6.2502 11.8917 95.01 95.01 119.98
Last column: nearest neighbours and their distance in Å.
Element x y z (fractional)
La  0.0000  0.0000  0.0000  6 Pr 3.61, 6 Y 3.64
Pr  0.3334  0.6666  0.0000  3 Pr 3.61, 3 La 3.61, 6 Y 3.63-3.64
Pr  0.6666  0.3334  0.0000  3 Pr 3.61, 3 La 3.61, 6 Y 3.63-3.64
Dy  0.1668  0.8332  0.5000  6 Y 3.55, 6 Dy 3.61
Dy  0.5000  0.5000  0.5000  6 Y 3.55, 6 Dy 3.61
Dy  0.8332  0.1668  0.5000  6 Y 3.55, 6 Dy 3.61
Y  0.0851  0.4188  0.2546  3 Dy 3.55, 6 Y 3.61, 2 Pr 3.63-3.64, 1 La 3.64
Y  0.2486  0.2486  0.7453  3 Dy 3.55, 6 Y 3.61, 2 Pr 3.64, 1 La 3.64
Y  0.4188  0.0851  0.2546  3 Dy 3.55, 6 Y 3.61, 2 Pr 3.63-3.64, 1 La 3.64
Y  0.5812  0.9149  0.7454  3 Dy 3.55, 6 Y 3.61, 2 Pr 3.63-3.64, 1 La 3.64
Y  0.7514  0.7514  0.2547  3 Dy 3.55, 6 Y 3.61, 2 Pr 3.64, 1 La 3.64
Y  0.9149  0.5812  0.7454  3 Dy 3.55, 6 Y 3.61, 2 Pr 3.63-3.64, 1 La 3.64

total magnetization	0.0000	μB per atom
energy relative to the elements	0.019	eV per atom
total energy	-5.5707	eV/atom


# 3
Density functional theory data (PBE-GGA) for an optimized crystal structure of La2PrDyY5.

Lattice parameters (Å, degrees): 10.0777 10.0777 10.0777 129.01 129.01 75.00
Last column: nearest neighbours and their distance in Å.
Element x y z (fractional)
La  0.1183  0.6183  0.7367  1 La 2.90, 2 Y 3.06
La  0.3817  0.1183  0.5000  1 La 2.90, 2 Y 3.06
La  0.6183  0.8817  0.5000  1 La 2.90, 2 Y 3.06
La  0.8817  0.3817  0.2633  1 La 2.90, 2 Y 3.06
Pr  0.2500  0.7500  0.5000  4 Y 3.13
Pr  0.7500  0.2500  0.5000  4 Y 3.13
Dy  0.2500  0.2500  0.0000  8 Y 3.56
Dy  0.7500  0.7500  0.0000  8 Y 3.56
Y  0.0000  0.0000  0.0000  4 La 3.47, 8 Y 3.83
Y  0.0714  0.1474  0.5000  1 La 3.06, 1 Pr 3.13
Y  0.1474  0.6474  0.0760  1 La 3.06, 1 Pr 3.13
Y  0.3526  0.4286  0.5000  1 La 3.06, 1 Pr 3.13
Y  0.4286  0.9286  0.0760  1 La 3.06, 1 Pr 3.13
Y  0.5000  0.5000  0.0000  4 La 3.47, 8 Y 3.83
Y  0.5714  0.0714  0.9240  1 La 3.06, 1 Pr 3.13
Y  0.6474  0.5714  0.5000  1 La 3.06, 1 Pr 3.13
Y  0.8526  0.3526  0.9240  1 La 3.06, 1 Pr 3.13
Y  0.9286  0.8526  0.5000  1 La 3.06, 1 Pr 3.13

total magnetization	0.0000	μB per atom
energy relative to the elements	0.234	eV per atom
total energy	-5.4941	eV/atom


# 4
Density functional theory data (PBE-GGA) for an optimized crystal structure of LaPr3Dy6Y2.

Lattice parameters (Å, degrees): 6.2567 6.2567 11.9294 95.00 95.00 119.99
Last column: nearest neighbours and their distance in Å.
Element x y z (fractional)
La  0.0000  0.0000  0.0000  6 Dy 3.59, 6 Y 3.61
Pr  0.1671  0.8329  0.5000  6 Pr 3.61-3.62, 6 Dy 3.61-3.62
Pr  0.5000  0.5000  0.5000  6 Pr 3.61, 6 Dy 3.61-3.62
Pr  0.8329  0.1671  0.5000  6 Pr 3.61-3.62, 6 Dy 3.61-3.62
Dy  0.0832  0.4171  0.2487  2 Y 3.59, 1 La 3.59, 6 Dy 3.61-3.62, 3 Pr 3.61-3.62
Dy  0.2508  0.2508  0.7511  2 Y 3.59, 1 La 3.59, 6 Dy 3.61-3.62, 3 Pr 3.61-3.62
Dy  0.4171  0.0832  0.2487  2 Y 3.59, 1 La 3.59, 6 Dy 3.61-3.62, 3 Pr 3.61-3.62
Dy  0.5829  0.9168  0.7513  2 Y 3.59, 1 La 3.59, 6 Dy 3.61-3.62, 3 Pr 3.61-3.62
Dy  0.7492  0.7492  0.2489  2 Y 3.59, 1 La 3.59, 6 Dy 3.61-3.62, 3 Pr 3.61-3.62
Dy  0.9168  0.5829  0.7513  2 Y 3.59, 1 La 3.59, 6 Dy 3.61-3.62, 3 Pr 3.61-3.62
Y  0.3333  0.6667  0.0000  6 Dy 3.59, 3 La 3.61, 3 Y 3.61
Y  0.6667  0.3333  0.0000  6 Dy 3.59, 3 La 3.61, 3 Y 3.61

total magnetization	0.0000	μB per atom
energy relative to the elements	0.019	eV per atom
total energy	-4.9645	eV/atom


# 5
Density functional theory data (PBE-GGA) for an optimized crystal structure of La2PrDyY2.

Lattice parameters (Å, degrees): 6.7663 17.9131 3.4318 90.00 90.00 90.00
Last column: nearest neighbours and their distance in Å.
Element x y z (fractional)
La  0.2354  0.1538  0.0000  1 Pr 3.29, 4 Y 3.34-3.53, 2 La 3.43, 2 Dy 3.62
La  0.2646  0.6538  0.5000  1 Pr 3.29, 4 Y 3.34-3.53, 2 La 3.43, 2 Dy 3.62
La  0.7354  0.3462  0.5000  1 Pr 3.29, 4 Y 3.34-3.53, 2 La 3.43, 2 Dy 3.62
La  0.7646  0.8462  0.0000  1 Pr 3.29, 4 Y 3.34-3.53, 2 La 3.43, 2 Dy 3.62
Pr  0.0000  0.5000  0.5000  2 La 3.29, 2 Pr 3.43, 2 Y 3.52
Pr  0.5000  0.0000  0.0000  2 La 3.29, 2 Pr 3.43, 2 Y 3.52
Dy  0.0000  0.0000  0.5000  2 Dy 3.43, 4 La 3.62, 4 Pr 3.79
Dy  0.5000  0.5000  0.0000  2 Dy 3.43, 4 La 3.62, 4 Pr 3.79
Y  0.2447  0.3263  0.5000  4 La 3.34-3.53, 2 Y 3.43, 1 Pr 3.52
Y  0.2553  0.8263  0.0000  4 La 3.34-3.53, 2 Y 3.43, 1 Pr 3.52
Y  0.7447  0.1737  0.0000  4 La 3.34-3.53, 2 Y 3.43, 1 Pr 3.52
Y  0.7553  0.6737  0.5000  4 La 3.34-3.53, 2 Y 3.43, 1 Pr 3.52

total magnetization	0.0002	μB per atom
energy relative to the elements	0.248	eV per atom
total energy	-5.1124	eV/atom


# 6
Density functional theory data (PBE-GGA) for an optimized crystal structure of LaPrDy2Y.

Lattice parameters (Å, degrees): 7.2151 7.2151 7.2430 90.00 90.00 108.15
Last column: nearest neighbours and their distance in Å.
Element x y z (fractional)
La  0.2297  0.7703  0.7500  1 Pr 3.06
La  0.7703  0.2297  0.2500  1 Pr 3.06
Pr  0.4918  0.5082  0.7500  1 La 3.06, 4 Dy 3.21, 1 Y 3.33
Pr  0.5082  0.4918  0.2500  1 La 3.06, 4 Dy 3.21, 1 Y 3.33
Dy  0.1867  0.1867  0.0000  1 Dy 3.16, 2 Pr 3.21
Dy  0.1867  0.1867  0.5000  1 Dy 3.16, 2 Pr 3.21
Dy  0.8133  0.8133  0.0000  1 Dy 3.16, 2 Pr 3.21
Dy  0.8133  0.8133  0.5000  1 Dy 3.16, 2 Pr 3.21
Y  0.2231  0.7769  0.2500  1 Pr 3.33, 4 Dy 3.55, 2 La 3.62
Y  0.7769  0.2231  0.7500  1 Pr 3.33, 4 Dy 3.55, 2 La 3.62

total magnetization	0.0001	μB per atom
energy relative to the elements	0.353	eV per atom
total energy	-4.7222	eV/atom